(1)
First-principles (PBE) data for CdSb2Os after structural relaxation, as listed in Alexandria.

Summary:
- D(E_F): 0.52 states/eV/atom
- Relative energy among the computed polymorphs: 0.937 eV/f.u.
- Density: 7.36 g cm⁻³

Cell: 6.266 6.266 12.550 Å, 90.00 90.00 90.00°
Space group I-42d (No. 122)
Symmetry-distinct sites (fractional):
Cd1 0.000 0.000 0.000 x4
Sb1 0.199 0.250 0.625 x8
Os1 0.000 0.000 0.500 x4

=====

(2)
First-principles (PBE) data for CdSb2Os after structural relaxation, as listed in Alexandria.

Summary:
- D(E_F): 0.66 states/eV/atom
- Relative energy among the computed polymorphs: 0.456 eV/f.u.
- Density: 9.75 g cm⁻³

Cell: 3.189 4.337 13.447 Å, 90.00 90.00 90.00°
Space group Imm2 (No. 44)
Symmetry-distinct sites (fractional):
Cd1 0.000 0.000 0.000 x2
Sb1 0.000 0.000 0.371 x2
Sb2 0.000 0.500 0.163 x2
Os1 0.000 0.500 0.710 x2

=====

(3)
First-principles (PBE) data for Cd2SbOs after structural relaxation, as listed in Alexandria.

Summary:
- D(E_F): 0.69 states/eV/atom
- Density: 11.07 g cm⁻³

Cell: 9.449 3.285 5.282 Å, 90.00 100.65 90.00°
Space group Cm (No. 8)
Symmetry-distinct sites (fractional):
Cd1 0.000 0.000 0.000 x2
Cd2 0.242 0.000 0.778 x2
Sb1 0.276 0.500 0.329 x2
Os1 0.001 0.500 0.498 x2

=====

(4)
First-principles (PBE) data for Cd2SbOs after structural relaxation, as listed in Alexandria.

Summary:
- D(E_F): 0.42 states/eV/atom
- Density: 11.06 g cm⁻³

Cell: 3.225 3.868 6.462 Å, 90.00 90.08 90.00°
Space group Pm (No. 6)
Symmetry-distinct sites (fractional):
Cd1 0.000 0.000 0.000 x1
Cd2 0.500 0.500 0.246 x1
Sb1 0.500 0.500 0.694 x1
Os1 0.999 0.000 0.520 x1

=====

(5)
First-principles (PBE) data for CdSb2TeOs after structural relaxation, as listed in Alexandria.

Summary:
- D(E_F): 0.44 states/eV/atom
- Relative energy among the computed polymorphs: 0.000 eV/f.u.
- Density: 7.50 g cm⁻³

Cell: 5.009 5.009 5.946 Å, 90.00 90.00 90.00°
Space group P4/mmm (No. 123)
Symmetry-distinct sites (fractional):
Cd1 0.000 0.000 0.000 x1
Sb1 0.000 0.500 0.500 x2
Te1 0.500 0.500 0.000 x1
Os1 0.500 0.500 0.500 x1

=====

(6)
First-principles (PBE) data for CdSb2TeOs after structural relaxation, as listed in Alexandria.

Summary:
- D(E_F): 1.26 states/eV/atom
- Relative energy among the computed polymorphs: 6.261 eV/f.u.
- Density: 7.11 g cm⁻³

Cell: 5.389 5.389 5.423 Å, 90.00 90.00 90.00°
Space group P4/mmm (No. 123)
Symmetry-distinct sites (fractional):
Cd1 0.000 0.000 0.000 x1
Sb1 0.000 0.500 0.000 x2
Te1 0.000 0.000 0.500 x1
Os1 0.500 0.500 0.500 x1

=====

Number 1: ΔE_f (raw) 0.4806 eV/atom, total magnetic moment 0.00 μB per formula unit. Number 2: ΔE_f (raw) 0.3604 eV/atom, total magnetic moment 0.00 μB per formula unit. Number 3: ΔE_f (raw) 0.4585 eV/atom, total magnetic moment 0.00 μB per formula unit. Number 4: ΔE_f (raw) 0.4113 eV/atom, total magnetic moment 0.00 μB per formula unit. Number 5: ΔE_f (raw) 0.5601 eV/atom, total magnetic moment 0.00 μB per formula unit. Number 6: ΔE_f (raw) 1.8123 eV/atom, total magnetic moment 2.25 μB per formula unit.